1.
Crystalline BaAl2Os at its relaxed geometry. Source: Alexandria via LeMat-Bulk, functional PBE.

Computed properties:
VASP energy   -5.36 eV per atom
Energy of formation   -0.197 eV per atom

Geometry as CIF:
```
data_BaAl2Os
_chemical_formula_sum 'Ba3 Al6 Os3'
_space_group_name_H-M_alt 'R -3 m'
_space_group_IT_number 166
_space_group_name_Hall '-R 3 2"'
_cell_length_a 4.3580
_cell_length_b 4.3580
_cell_length_c 17.9974
_cell_angle_alpha 90.00
_cell_angle_beta 90.00
_cell_angle_gamma 120.00
loop_
_atom_site_label
_atom_site_type_symbol
_atom_site_fract_x
_atom_site_fract_y
_atom_site_fract_z
Ba1 Ba 0.0000 0.0000 0.0000
Al1 Al 0.0000 0.0000 0.1930
Os1 Os 0.0000 0.0000 0.5000
```

2.
Crystalline BaAlOs3 at its relaxed geometry. Source: Alexandria via LeMat-Bulk, functional PBE.

Computed properties:
VASP energy   -6.47 eV per atom
Energy of formation   1.397 eV per atom

Geometry as CIF:
```
data_BaAlOs3
_chemical_formula_sum 'Ba1 Al1 Os3'
_space_group_name_H-M_alt 'P m -3 m'
_space_group_IT_number 221
_space_group_name_Hall '-P 4 2 3'
_cell_length_a 4.701
_cell_length_b 4.701
_cell_length_c 4.701
_cell_angle_alpha 90.00
_cell_angle_beta 90.00
_cell_angle_gamma 90.00
loop_
_atom_site_label
_atom_site_type_symbol
_atom_site_fract_x
_atom_site_fract_y
_atom_site_fract_z
Ba1 Ba 0.000 0.000 0.000
Al1 Al 0.500 0.500 0.500
Os1 Os 0.000 0.500 0.500
```

3.
Crystalline BaAl2Os at its relaxed geometry. Source: Alexandria via LeMat-Bulk, functional PBE.

Computed properties:
VASP energy   -4.35 eV per atom
Energy of formation   0.812 eV per atom

Geometry as CIF:
```
data_BaAl2Os
_chemical_formula_sum 'Ba1 Al2 Os1'
_space_group_name_H-M_alt 'P 4/m m m'
_space_group_IT_number 123
_space_group_name_Hall '-P 4 2'
_cell_length_a 4.258
_cell_length_b 4.258
_cell_length_c 4.811
_cell_angle_alpha 90.00
_cell_angle_beta 90.00
_cell_angle_gamma 90.00
loop_
_atom_site_label
_atom_site_type_symbol
_atom_site_fract_x
_atom_site_fract_y
_atom_site_fract_z
Ba1 Ba 0.000 0.000 0.000
Al1 Al 0.000 0.500 0.500
Os1 Os 0.500 0.500 0.000
```

4.
Crystalline Ba2AlOs at its relaxed geometry. Source: Alexandria via LeMat-Bulk, functional PBE.

Computed properties:
VASP energy   -4.45 eV per atom
Energy of formation   0.250 eV per atom

Geometry as CIF:
```
data_Ba2AlOs
_chemical_formula_sum 'Ba4 Al2 Os2'
_space_group_name_H-M_alt 'I m m 2'
_space_group_IT_number 44
_cell_length_a 4.258
_cell_length_b 5.035
_cell_length_c 12.314
_cell_angle_alpha 90.00
_cell_angle_beta 90.00
_cell_angle_gamma 90.00
loop_
_space_group_symop_operation_xyz
'x,y,z'
'-x,-y,z'
'-x,y,z'
'x,-y,z'
'x+1/2,y+1/2,z+1/2'
'-x+1/2,-y+1/2,z+1/2'
'-x+1/2,y+1/2,z+1/2'
'x+1/2,-y+1/2,z+1/2'
loop_
_atom_site_label
_atom_site_type_symbol
_atom_site_fract_x
_atom_site_fract_y
_atom_site_fract_z
Ba1 Ba 0.000 0.000 0.000
Ba2 Ba 0.000 0.500 0.226
Al1 Al 0.000 0.000 0.421
Os1 Os 0.000 0.500 0.825
```

5.
Crystalline Ba2AlOs at its relaxed geometry. Source: Alexandria via LeMat-Bulk, functional PBE.

Computed properties:
VASP energy   -3.79 eV per atom
Energy of formation   0.917 eV per atom

Geometry as CIF:
```
data_Ba2AlOs
_chemical_formula_sum 'Ba6 Al3 Os3'
_space_group_name_H-M_alt 'R -3 m'
_space_group_IT_number 166
_space_group_name_Hall '-R 3 2"'
_cell_length_a 3.8083
_cell_length_b 3.8083
_cell_length_c 30.7158
_cell_angle_alpha 90.00
_cell_angle_beta 90.00
_cell_angle_gamma 120.00
loop_
_atom_site_label
_atom_site_type_symbol
_atom_site_fract_x
_atom_site_fract_y
_atom_site_fract_z
Ba1 Ba 0.0000 0.0000 0.2387
Al1 Al 0.0000 0.0000 0.0000
Os1 Os 0.0000 0.0000 0.5000
```

6.
Crystalline Ba4AlOs at its relaxed geometry. Source: Alexandria via LeMat-Bulk, functional PBE.

Computed properties:
VASP energy   -2.52 eV per atom
Energy of formation   1.254 eV per atom

Geometry as CIF:
```
data_Ba4AlOs
_chemical_formula_sum 'Ba16 Al4 Os4'
_space_group_name_H-M_alt 'F -4 3 m'
_space_group_IT_number 216
_space_group_name_Hall 'F -4 2 3'
_cell_length_a 9.625
_cell_length_b 9.625
_cell_length_c 9.625
_cell_angle_alpha 90.00
_cell_angle_beta 90.00
_cell_angle_gamma 90.00
loop_
_atom_site_label
_atom_site_type_symbol
_atom_site_fract_x
_atom_site_fract_y
_atom_site_fract_z
Ba1 Ba 0.124 0.124 0.124
Al1 Al 0.000 0.000 0.500
Os1 Os 0.250 0.250 0.750
```

7.
Crystalline BaAl4Os at its relaxed geometry. Source: Alexandria via LeMat-Bulk, functional PBE.

Computed properties:
VASP energy   -4.29 eV per atom
Energy of formation   0.397 eV per atom

Geometry as CIF:
```
data_BaAl4Os
_chemical_formula_sum 'Ba4 Al16 Os4'
_space_group_name_H-M_alt 'F -4 3 m'
_space_group_IT_number 216
_space_group_name_Hall 'F -4 2 3'
_cell_length_a 7.790
_cell_length_b 7.790
_cell_length_c 7.790
_cell_angle_alpha 90.00
_cell_angle_beta 90.00
_cell_angle_gamma 90.00
loop_
_atom_site_label
_atom_site_type_symbol
_atom_site_fract_x
_atom_site_fract_y
_atom_site_fract_z
Ba1 Ba 0.000 0.000 0.000
Al1 Al 0.123 0.123 0.377
Os1 Os 0.250 0.250 0.750
```

8.
Crystalline BaAl2Os at its relaxed geometry. Source: Alexandria via LeMat-Bulk, functional PBE.

Computed properties:
VASP energy   -4.62 eV per atom
Energy of formation   0.544 eV per atom

Geometry as CIF:
```
data_BaAl2Os
_chemical_formula_sum 'Ba3 Al6 Os3'
_space_group_name_H-M_alt 'R 3 m'
_space_group_IT_number 160
_space_group_name_Hall 'R 3 -2"'
_cell_length_a 3.1172
_cell_length_b 3.1172
_cell_length_c 29.5942
_cell_angle_alpha 90.00
_cell_angle_beta 90.00
_cell_angle_gamma 120.00
loop_
_atom_site_label
_atom_site_type_symbol
_atom_site_fract_x
_atom_site_fract_y
_atom_site_fract_z
Ba1 Ba 0.0000 0.0000 0.0000
Al1 Al 0.0000 0.0000 0.2293
Al2 Al 0.0000 0.0000 0.4873
Os1 Os 0.0000 0.0000 0.7600
```

9.
Crystalline Ba2AlOs at its relaxed geometry. Source: Alexandria via LeMat-Bulk, functional PBE.

Computed properties:
VASP energy   -3.83 eV per atom
Energy of formation   0.870 eV per atom

Geometry as CIF:
```
data_Ba2AlOs
_chemical_formula_sum 'Ba4 Al2 Os2'
_space_group_name_H-M_alt 'C 1 2/m 1'
_space_group_IT_number 12
_cell_length_a 8.492
_cell_length_b 3.329
_cell_length_c 9.283
_cell_angle_alpha 90.00
_cell_angle_beta 96.19
_cell_angle_gamma 90.00
loop_
_space_group_symop_operation_xyz
'x,y,z'
'-x,-y,-z'
'-x,y,-z'
'x,-y,z'
'x+1/2,y+1/2,z'
'-x+1/2,-y+1/2,-z'
'-x+1/2,y+1/2,-z'
'x+1/2,-y+1/2,z'
loop_
_atom_site_label
_atom_site_type_symbol
_atom_site_fract_x
_atom_site_fract_y
_atom_site_fract_z
Ba1 Ba 0.243 0.000 0.211
Al1 Al 0.000 0.000 0.500
Os1 Os 0.000 0.500 0.000
```

10.
Crystalline Ba2AlOs at its relaxed geometry. Source: Alexandria via LeMat-Bulk, functional PBE.

Computed properties:
VASP energy   -4.51 eV per atom
Energy of formation   0.199 eV per atom

Geometry as CIF:
```
data_Ba2AlOs
_chemical_formula_sum 'Ba4 Al2 Os2'
_space_group_name_H-M_alt 'A m m 2'
_space_group_IT_number 38
_cell_length_a 4.431
_cell_length_b 4.932
_cell_length_c 12.178
_cell_angle_alpha 90.00
_cell_angle_beta 90.00
_cell_angle_gamma 90.00
loop_
_space_group_symop_operation_xyz
'x,y,z'
'-x,-y,z'
'-x,y,z'
'x,-y,z'
'x,y+1/2,z+1/2'
'-x,-y+1/2,z+1/2'
'-x,y+1/2,z+1/2'
'x,-y+1/2,z+1/2'
loop_
_atom_site_label
_atom_site_type_symbol
_atom_site_fract_x
_atom_site_fract_y
_atom_site_fract_z
Ba1 Ba 0.000 0.000 0.000
Ba2 Ba 0.500 0.000 0.282
Al1 Al 0.500 0.000 0.595
Os1 Os 0.000 0.000 0.683
```

11.
Crystalline BaAl2Os at its relaxed geometry. Source: Alexandria via LeMat-Bulk, functional PBE.

Computed properties:
VASP energy   -5.32 eV per atom
Energy of formation   -0.164 eV per atom

Geometry as CIF:
```
data_BaAl2Os
_chemical_formula_sum 'Ba2 Al4 Os2'
_space_group_name_H-M_alt 'C 1 m 1'
_space_group_IT_number 8
_cell_length_a 7.621
_cell_length_b 4.397
_cell_length_c 6.547
_cell_angle_alpha 90.00
_cell_angle_beta 112.78
_cell_angle_gamma 90.00
loop_
_space_group_symop_operation_xyz
'x,y,z'
'x,-y,z'
'x+1/2,y+1/2,z'
'x+1/2,-y+1/2,z'
loop_
_atom_site_label
_atom_site_type_symbol
_atom_site_fract_x
_atom_site_fract_y
_atom_site_fract_z
Ba1 Ba 0.000 0.000 0.000
Al1 Al 0.026 0.500 0.574
Al2 Al 0.317 0.500 0.447
Os1 Os 0.186 0.000 0.554
```

12.
Crystalline BaAlOs4 at its relaxed geometry. Source: Alexandria via LeMat-Bulk, functional PBE.

Computed properties:
VASP energy   -7.65 eV per atom
Energy of formation   0.781 eV per atom

Geometry as CIF:
```
data_BaAlOs4
_chemical_formula_sum 'Ba4 Al4 Os16'
_space_group_name_H-M_alt 'F -4 3 m'
_space_group_IT_number 216
_space_group_name_Hall 'F -4 2 3'
_cell_length_a 7.633
_cell_length_b 7.633
_cell_length_c 7.633
_cell_angle_alpha 90.00
_cell_angle_beta 90.00
_cell_angle_gamma 90.00
loop_
_atom_site_label
_atom_site_type_symbol
_atom_site_fract_x
_atom_site_fract_y
_atom_site_fract_z
Ba1 Ba 0.000 0.000 0.000
Al1 Al 0.250 0.250 0.250
Os1 Os 0.124 0.124 0.624
```

Q: Which value of energy of formation does entry 1 give?
A: -0.197 eV per atom